(1)
TbYScTl: optimized geometry, PBE.

POSCAR file:
```
TbYScTl
1.0
0.000 3.803 3.803
3.803 0.000 3.803
3.803 3.803 0.000
Tb Y Sc Tl
1 1 1 1
direct
0.000 0.000 0.000
0.500 0.500 0.500
0.250 0.250 0.250
0.750 0.750 0.750
```

## Properties
energy of formation	-72	meV per atom
space group	F-43m (216)
polymorph energy (0 for the lowest one)	109	meV per atom
final energy	-5.02	eV per atom

---

(2)
TbY2ScTl2: optimized geometry, PBE.

POSCAR file:
```
TbY2ScTl2
1.0
4.944 0.000 0.000
0.000 9.772 0.000
0.000 0.000 6.942
Tb Y Sc Tl
2 4 2 4
direct
0.000 0.050 0.000
0.000 0.950 0.500
0.000 0.309 0.393
0.000 0.691 0.893
0.500 0.449 0.102
0.500 0.551 0.602
0.500 0.196 0.711
0.500 0.804 0.211
0.000 0.365 0.840
0.000 0.635 0.340
0.500 0.118 0.274
0.500 0.882 0.774
```

## Properties
energy of formation	-281	meV per atom
space group	Pmc2_1 (26)
final energy	-5.05	eV per atom

---

(3)
TbYScTl: optimized geometry, PBE.

POSCAR file:
```
TbYScTl
1.0
4.720 0.000 0.000
0.000 4.770 0.000
0.000 0.000 4.805
Tb Y Sc Tl
1 1 1 1
direct
0.000 0.000 0.000
0.000 0.500 0.500
0.500 0.500 0.000
0.500 0.000 0.500
```

## Properties
energy of formation	-182	meV per atom
space group	Pmmm (47)
polymorph energy (0 for the lowest one)	0	meV per atom
final energy	-5.13	eV per atom

---

(4)
Tb2Tm3Sc8: optimized geometry, PBE.

POSCAR file:
```
Tb2Tm3Sc8
1.0
6.978 -4.284 0.000
6.978 4.284 0.000
-0.967 0.000 6.242
Tb Tm Sc
2 3 8
direct
0.206 0.206 0.257
0.794 0.794 0.743
0.000 0.000 0.500
0.177 0.823 0.000
0.823 0.177 0.000
0.215 0.568 0.562
0.217 0.217 0.759
0.420 0.420 0.128
0.432 0.785 0.438
0.568 0.215 0.562
0.580 0.580 0.872
0.783 0.783 0.241
0.785 0.432 0.438
```

## Properties
energy of formation	300	meV per atom
space group	C2/m (12)
final energy	-5.34	eV per atom